# 1
## TbNiI2 (PBE)

Data for a geometry-optimized TbNiI2 structure.

energy relative to the elements, uncorrected = -0.052 eV per atom
VASP energy = -13.72 eV for the cell shown
SG = No. 166

Cell: 3.942 3.942 9.355 Å, 77.84 77.84 60.00°
Fractional coordinates of all 4 atoms:
I  0.111  0.111  0.667
I  0.889  0.889  0.333
Ni  0.500  0.500  0.500
Tb  0.000  0.000  0.000



# 2
## Cr3ReMo (PBE)

Data for a geometry-optimized Cr3ReMo structure.

ΔE to the lowest computed polymorph = 0.0 meV per atom
VASP energy = -104.00 eV for the cell shown
SG = No. 63
formation enthalpy at 0 K = 29 meV/atom

Cell: 4.205 4.210 7.743 Å, 90.00 74.24 90.00°
Fractional coordinates of all 10 atoms:
Cr  0.777  0.250  0.093
Cr  0.371  0.250  0.906
Cr  0.574  0.250  0.500
Cr  0.277  0.750  0.094
Cr  0.871  0.750  0.907
Cr  0.074  0.750  0.500
Re  0.471  0.750  0.705
Re  0.177  0.250  0.295
Mo  0.676  0.750  0.296
Mo  0.972  0.250  0.704



# 3
## Hf4TlBr7 (PBE)

Data for a geometry-optimized Hf4TlBr7 structure.

energy relative to the elements, uncorrected = -0.742 eV per atom
VASP energy = -125.60 eV for the cell shown
SG = No. 4

Cell: 5.058 8.786 18.919 Å, 95.94 90.00 90.00°
Fractional coordinates of all 24 atoms:
Hf  0.490  0.920  0.859
Hf  0.973  0.891  0.243
Hf  0.473  0.109  0.257
Hf  0.990  0.080  0.641
Hf  0.976  0.122  0.361
Hf  0.476  0.878  0.139
Hf  0.991  0.899  0.759
Hf  0.491  0.101  0.741
Tl  0.481  0.495  0.569
Tl  0.981  0.505  0.931
Br  0.981  0.883  0.095
Br  0.481  0.117  0.405
Br  0.493  0.240  0.876
Br  0.993  0.760  0.624
Br  0.990  0.815  0.376
Br  0.490  0.184  0.124
Br  0.679  0.649  0.798
Br  0.179  0.351  0.702
Br  0.127  0.368  0.304
Br  0.627  0.632  0.196
Br  0.481  0.735  0.984
Br  0.981  0.265  0.516
Br  0.992  0.965  0.908
Br  0.492  0.035  0.592



# 4
## Dy3Al5Pd (PBE)

Data for a geometry-optimized Dy3Al5Pd structure.

VASP energy = -43.60 eV for the cell shown
SG = No. 189
formation enthalpy at 0 K = -654 meV/atom

Cell: 4.389 7.001 7.001 Å, 120.00 90.00 90.00°
Fractional coordinates of all 9 atoms:
Dy  0.000  0.000  0.415
Dy  0.000  0.415  0.000
Dy  0.000  0.585  0.585
Al  0.500  0.667  0.333
Al  0.500  0.333  0.667
Al  0.500  0.234  0.234
Al  0.500  0.766  0.000
Al  0.500  0.000  0.766
Pd  0.000  0.000  0.000



# 5
## CoAgPt (PBE)

Data for a geometry-optimized CoAgPt structure.

ΔE to the lowest computed polymorph = 108.1 meV per atom
VASP energy = -15.53 eV for the cell shown
SG = No. 44
formation enthalpy at 0 K = 154 meV/atom

Cell: 5.012 5.012 5.012 Å, 147.90 136.91 54.73°
Fractional coordinates of all 3 atoms:
Ag  0.997  0.997  0.000
Co  0.317  0.317  0.000
Pt  0.686  0.686  0.000



# 6
## Cs3K3Rb8 (PBE)

Data for a geometry-optimized Cs3K3Rb8 structure.

VASP energy = -13.31 eV for the cell shown
SG = No. 71
formation enthalpy at 0 K = 20 meV/atom

Cell: 7.717 13.667 13.667 Å, 80.85 73.60 73.60°
Fractional coordinates of all 14 atoms:
Cs  0.500  0.500  0.500
Cs  0.783  0.217  0.217
Cs  0.217  0.783  0.783
K  0.500  0.000  0.000
K  0.000  0.860  0.140
K  0.000  0.140  0.860
Rb  0.639  0.077  0.644
Rb  0.361  0.923  0.356
Rb  0.639  0.644  0.077
Rb  0.361  0.356  0.923
Rb  0.872  0.760  0.496
Rb  0.128  0.240  0.504
Rb  0.872  0.496  0.760
Rb  0.128  0.504  0.240



# 7
## PuMgIr2 (PBE)

Data for a geometry-optimized PuMgIr2 structure.

VASP energy = -35.15 eV for the cell shown
SG = No. 123
formation enthalpy at 0 K = -374 meV/atom

Cell: 3.147 3.147 7.054 Å, 90.00 90.00 90.00°
Fractional coordinates of all 4 atoms:
Mg  0.500  0.500  0.500
Ir  0.000  0.000  0.730
Ir  0.000  0.000  0.270
Pu  0.500  0.500  0.000



# 8
## NpGe2Pt (PBE)

Data for a geometry-optimized NpGe2Pt structure.

VASP energy = -119.59 eV for the cell shown
SG = No. 62
formation enthalpy at 0 K = -420 meV/atom

Cell: 4.438 6.726 10.696 Å, 90.00 90.00 90.00°
Fractional coordinates of all 16 atoms:
Np  0.750  0.825  0.301
Np  0.750  0.325  0.199
Np  0.250  0.175  0.699
Np  0.250  0.675  0.801
Ge  0.750  0.686  0.003
Ge  0.250  0.314  0.997
Ge  0.750  0.186  0.497
Ge  0.250  0.814  0.503
Ge  0.750  0.974  0.842
Ge  0.250  0.526  0.342
Ge  0.750  0.474  0.658
Ge  0.250  0.026  0.158
Pt  0.250  0.155  0.385
Pt  0.750  0.845  0.615
Pt  0.250  0.655  0.115
Pt  0.750  0.345  0.885



# 9
## CaMn3Ag (PBE)

Data for a geometry-optimized CaMn3Ag structure.

ΔE to the lowest computed polymorph = 0.0 meV per atom
VASP energy = -28.04 eV for the cell shown
SG = No. 221
formation enthalpy at 0 K = 865 meV/atom

Cell: 5.001 5.001 5.001 Å, 90.00 90.00 90.00°
Fractional coordinates of all 5 atoms:
Ca  0.500  0.500  0.500
Mn  0.000  0.500  0.000
Mn  0.000  0.000  0.500
Mn  0.500  0.000  0.000
Ag  0.000  0.000  0.000



# 10
## ScAs2Os (PBE)

Data for a geometry-optimized ScAs2Os structure.

ΔE to the lowest computed polymorph = 432.8 meV per atom
VASP energy = -26.79 eV for the cell shown
SG = No. 166
formation enthalpy at 0 K = 17 meV/atom

Cell: 8.557 8.557 8.557 Å, 20.91 20.91 20.91°
Fractional coordinates of all 4 atoms:
As  0.990  0.990  0.990
As  0.510  0.510  0.510
Os  0.250  0.250  0.250
Sc  0.750  0.750  0.750



# 11
## InBSb2N (PBE)

Data for a geometry-optimized InBSb2N structure.

energy relative to the elements, uncorrected = 2.227 eV per atom
VASP energy = -14.85 eV for the cell shown
SG = No. 123

Cell: 5.659 4.104 5.659 Å, 90.00 90.00 90.00°
Fractional coordinates of all 5 atoms:
Sb  0.000  0.000  0.500
Sb  0.500  0.000  0.000
B  0.000  0.500  0.000
N  0.500  0.500  0.500
In  0.000  0.000  0.000



# 12
## CeMgZrIn (PBE)

Data for a geometry-optimized CeMgZrIn structure.

VASP energy = -19.13 eV for the cell shown
SG = No. 216
formation enthalpy at 0 K = -78 meV/atom

Cell: 5.205 5.205 5.205 Å, 60.00 60.00 60.00°
Fractional coordinates of all 4 atoms:
Mg  0.000  0.000  0.000
Zr  0.750  0.750  0.750
Ce  0.250  0.250  0.250
In  0.500  0.500  0.500



# 13
## HfZr2Nb4 (PBE)

Data for a geometry-optimized HfZr2Nb4 structure.

VASP energy = -66.62 eV for the cell shown
SG = No. 65
formation enthalpy at 0 K = 101 meV/atom

Cell: 3.381 3.326 13.025 Å, 90.00 97.46 90.00°
Fractional coordinates of all 7 atoms:
Hf  0.500  0.000  0.000
Zr  0.802  0.500  0.604
Zr  0.198  0.500  0.396
Nb  0.928  0.500  0.855
Nb  0.630  0.000  0.259
Nb  0.072  0.500  0.145
Nb  0.370  0.000  0.741



# 14
## Cd2NiRh (PBE)

Data for a geometry-optimized Cd2NiRh structure.

VASP energy = -14.53 eV for the cell shown
SG = No. 166
formation enthalpy at 0 K = 109 meV/atom

Cell: 8.940 8.940 8.940 Å, 18.90 18.90 18.90°
Fractional coordinates of all 4 atoms:
Cd  0.997  0.997  0.997
Cd  0.503  0.503  0.503
Ni  0.250  0.250  0.250
Rh  0.750  0.750  0.750



# 15
## LaNb2CSe (PBE)

Data for a geometry-optimized LaNb2CSe structure.

energy relative to the elements, uncorrected = 2.891 eV per atom
VASP energy = -23.32 eV for the cell shown
SG = No. 123

Cell: 5.003 5.539 5.003 Å, 90.00 90.00 90.00°
Fractional coordinates of all 5 atoms:
Nb  0.000  0.000  0.500
Nb  0.500  0.000  0.000
C  0.500  0.500  0.500
Se  0.000  0.500  0.000
La  0.000  0.000  0.000



# 16
## Sr4InIr (PBE)

Data for a geometry-optimized Sr4InIr structure.

ΔE to the lowest computed polymorph = 1031.7 meV per atom
VASP energy = -13.72 eV for the cell shown
SG = No. 216
formation enthalpy at 0 K = 768 meV/atom

Cell: 6.533 6.533 6.533 Å, 60.00 60.00 60.00°
Fractional coordinates of all 6 atoms:
Sr  0.878  0.374  0.374
Sr  0.374  0.374  0.878
Sr  0.374  0.878  0.374
Sr  0.374  0.374  0.374
In  0.750  0.750  0.750
Ir  0.000  0.000  0.000



# 17
## NbInRh2Br (PBE)

Data for a geometry-optimized NbInRh2Br structure.

energy relative to the elements, uncorrected = 0.806 eV per atom
VASP energy = -25.15 eV for the cell shown
SG = No. 123

Cell: 4.724 5.801 4.724 Å, 90.00 90.00 90.00°
Fractional coordinates of all 5 atoms:
Nb  0.000  0.000  0.000
Rh  0.000  0.000  0.500
Rh  0.500  0.000  0.000
Br  0.500  0.500  0.500
In  0.000  0.500  0.000



# 18
## ZrTiNb (PBE)

Data for a geometry-optimized ZrTiNb structure.

ΔE to the lowest computed polymorph = 0.0 meV per atom
VASP energy = -52.69 eV for the cell shown
SG = No. 12
formation enthalpy at 0 K = 56 meV/atom

Cell: 3.378 5.497 6.985 Å, 107.00 90.00 107.90°
Fractional coordinates of all 6 atoms:
Zr  0.166  0.331  0.606
Zr  0.834  0.669  0.394
Ti  0.147  0.294  0.045
Ti  0.853  0.706  0.955
Nb  0.524  0.048  0.248
Nb  0.476  0.952  0.752



# 19
## PrHo5Er2 (PBE)

Data for a geometry-optimized PrHo5Er2 structure.

ΔE to the lowest computed polymorph = 127.1 meV per atom
VASP energy = -71.23 eV for the cell shown
SG = No. 2
formation enthalpy at 0 K = 147 meV/atom

Cell: 5.622 8.597 11.414 Å, 90.04 90.01 109.03°
Fractional coordinates of all 16 atoms:
Pr  0.773  0.546  0.750
Pr  0.227  0.454  0.250
Ho  0.956  0.913  0.888
Ho  0.957  0.915  0.613
Ho  0.413  0.826  0.423
Ho  0.413  0.826  0.078
Ho  0.604  0.208  0.250
Ho  0.396  0.792  0.750
Ho  0.587  0.174  0.577
Ho  0.587  0.174  0.922
Ho  0.044  0.087  0.112
Ho  0.043  0.085  0.387
Er  0.787  0.575  0.420
Er  0.787  0.575  0.080
Er  0.213  0.425  0.580
Er  0.213  0.425  0.920



# 20
## MgSnPt6 (PBE)

Data for a geometry-optimized MgSnPt6 structure.

VASP energy = -45.88 eV for the cell shown
SG = No. 123
formation enthalpy at 0 K = -505 meV/atom

Cell: 4.005 4.005 8.042 Å, 90.00 90.00 90.00°
Fractional coordinates of all 8 atoms:
Mg  0.000  0.000  0.000
Sn  0.000  0.000  0.500
Pt  0.500  0.500  0.000
Pt  0.500  0.500  0.500
Pt  0.500  0.000  0.243
Pt  0.500  0.000  0.757
Pt  0.000  0.500  0.243
Pt  0.000  0.500  0.757



# 21
## Pr4Te3Au (PBE)

Data for a geometry-optimized Pr4Te3Au structure.

energy relative to the elements, uncorrected = -1.280 eV per atom
VASP energy = -42.06 eV for the cell shown
SG = No. 65

Cell: 4.402 7.854 7.854 Å, 108.64 90.00 90.00°
Fractional coordinates of all 8 atoms:
Pr  0.000  0.234  0.234
Pr  0.500  0.754  0.246
Pr  0.000  0.766  0.766
Pr  0.500  0.246  0.754
Te  0.000  0.000  0.500
Te  0.500  0.500  0.500
Te  0.000  0.500  0.000
Au  0.500  0.000  0.000



# 22
## Pm3Sn4 (PBE)

Data for a geometry-optimized Pm3Sn4 structure.

ΔE to the lowest computed polymorph = 169.2 meV per atom
VASP energy = -34.11 eV for the cell shown
SG = No. 71
formation enthalpy at 0 K = -550 meV/atom

Cell: 3.483 4.303 13.408 Å, 99.23 97.46 90.00°
Fractional coordinates of all 7 atoms:
Pm  0.855  0.355  0.711
Pm  0.000  0.500  0.000
Pm  0.145  0.645  0.289
Sn  0.718  0.218  0.436
Sn  0.282  0.782  0.564
Sn  0.427  0.927  0.854
Sn  0.573  0.073  0.146



# 23
## TbY6Tm12 (PBE)

Data for a geometry-optimized TbY6Tm12 structure.

ΔE to the lowest computed polymorph = 0.0 meV per atom
VASP energy = -93.47 eV for the cell shown
SG = No. 148
formation enthalpy at 0 K = 190 meV/atom

Cell: 8.473 8.473 8.473 Å, 92.51 92.51 92.51°
Fractional coordinates of all 19 atoms:
Tb  0.000  0.000  0.000
Y  0.724  0.872  0.258
Y  0.742  0.276  0.128
Y  0.128  0.742  0.276
Y  0.276  0.128  0.742
Y  0.258  0.724  0.872
Y  0.872  0.258  0.724
Tm  0.789  0.528  0.470
Tm  0.470  0.789  0.528
Tm  0.528  0.470  0.789
Tm  0.211  0.472  0.530
Tm  0.530  0.211  0.472
Tm  0.472  0.530  0.211
Tm  0.068  0.140  0.377
Tm  0.860  0.623  0.932
Tm  0.623  0.932  0.860
Tm  0.932  0.860  0.623
Tm  0.140  0.377  0.068
Tm  0.377  0.068  0.140



# 24
## Ir2OsRu (PBE)

Data for a geometry-optimized Ir2OsRu structure.

ΔE to the lowest computed polymorph = 14.4 meV per atom
VASP energy = -38.15 eV for the cell shown
SG = No. 22
formation enthalpy at 0 K = 19 meV/atom

Cell: 4.724 4.724 4.716 Å, 131.85 131.85 70.53°
Fractional coordinates of all 4 atoms:
Ru  0.750  0.250  0.500
Ir  0.000  0.000  0.000
Ir  0.250  0.750  0.500
Os  0.500  0.500  0.000



no.,size of the total moment (μB per atom),density (g/cm³)
1,0.211,6.410
2,0.000,11.028
3,0.000,5.868
4,0.000,6.497
5,0.756,13.229
6,0.000,1.507
7,1.127,15.517
8,0.917,12.010
9,2.557,4.152
10,0.000,9.149
11,0.000,4.840
12,0.307,6.168
13,0.000,8.375
14,0.128,9.789
15,0.182,4.978
16,0.000,5.537
17,0.000,6.330
18,0.000,6.558
19,0.000,8.279
20,0.000,16.905
21,0.000,7.379
22,0.018,7.684
23,0.000,7.446
24,0.000,19.618